1.
First-principles (PBE) data for an optimized crystal structure of SrY3C, as listed in Alexandria.

Properties
crystal system	cubic
total DFT energy (no corrections)	-17.8	eV per cell
SG	Pm-3m, No. 221
energy relative to the elements	2498	meV/atom
N(E_F)	0.716	states/eV per atom

a = 5.606 Å, b = 5.606 Å, c = 5.606 Å
α = 90.00°, β = 90.00°, γ = 90.00°
Element x y z (fractional)
Sr 0.000 0.000 0.000
Y 0.000 0.000 0.500
Y 0.000 0.500 0.000
Y 0.500 0.000 0.000
C 0.500 0.500 0.500

=====

2.
First-principles (PBE) data for an optimized crystal structure of AcGaO2, as listed in Alexandria.

Properties
crystal system	trigonal
total DFT energy (no corrections)	-22.4	eV per cell
SG	R-3m, No. 166
N(E_F)	0.216	states/eV per atom

a = 6.998 Å, b = 6.998 Å, c = 6.998 Å
α = 28.60°, β = 28.60°, γ = 28.60°
Element x y z (fractional)
Ac 0.000 0.000 0.000
Ga 0.500 0.500 0.500
O 0.120 0.120 0.120
O 0.880 0.880 0.880

=====

Question: Which value of N(E_F) does entry 2 give?
Answer: 0.216 states/eV per atom

=====

Copy entry 1 word for word.
First-principles (PBE) data for an optimized crystal structure of SrY3C, as listed in Alexandria.

Properties
crystal system	cubic
total DFT energy (no corrections)	-17.8	eV per cell
SG	Pm-3m, No. 221
energy relative to the elements	2498	meV/atom
N(E_F)	0.716	states/eV per atom

a = 5.606 Å, b = 5.606 Å, c = 5.606 Å
α = 90.00°, β = 90.00°, γ = 90.00°
Element x y z (fractional)
Sr 0.000 0.000 0.000
Y 0.000 0.000 0.500
Y 0.000 0.500 0.000
Y 0.500 0.000 0.000
C 0.500 0.500 0.500